First-principles (PBE) data for a relaxed NaHoC2O6 crystal, as listed in Alexandria via LeMat-Bulk.

**Theoretical density**: 4.1 g/cm3
**Magnetization**: 0.0 μB/cell
**Energy**: -0.553 Ry/atom
**D(E_F)**: 0.00 states/eV/f.u.
**Uncorrected formation energy**: -2046 kJ/mol of formula units

Lattice parameters (Å, degrees): 6.276 6.276 6.940 100.08 100.08 106.12
Positions (direct):
Na 0.100 0.900 0.750
Na 0.900 0.100 0.250
Ho 0.421 0.579 0.250
Ho 0.579 0.421 0.750
C 0.125 0.414 0.758
C 0.414 0.125 0.258
C 0.586 0.875 0.742
C 0.875 0.586 0.242
O 0.054 0.523 0.256
O 0.148 0.253 0.629
O 0.253 0.148 0.129
O 0.304 0.526 0.908
O 0.474 0.696 0.592
O 0.477 0.946 0.244
O 0.523 0.054 0.756
O 0.526 0.304 0.408
O 0.696 0.474 0.092
O 0.747 0.852 0.871
O 0.852 0.747 0.371
O 0.946 0.477 0.744